Entry 1:
First-principles (PBE-GGA) data for a relaxed structure of Be3CrSn, as listed in the Alexandria database.

## Properties
- DFT total energy (eV/atom) = -3.12

Cell lengths 4.4445, 4.4445, 4.4445 Å; angles 90.00, 90.00, 90.00 degrees
Fractional coordinates of all 5 atoms:
Cr: 0.5000 0.5000 0.5000
Sn: 0.0000 0.0000 0.0000
Be: 0.5000 0.0000 0.0000
Be: 0.0000 0.0000 0.5000
Be: 0.0000 0.5000 0.0000



Entry 2:
First-principles (PBE-GGA) data for a relaxed structure of Be2CrSn, as listed in the Alexandria database.

## Properties
- DFT total energy (eV/atom) = -4.52

Cell lengths 6.5884, 6.5884, 5.3121 Å; angles 51.67, 51.67, 90.00 degrees
Fractional coordinates of all 8 atoms:
Cr: 0.2500 0.7500 0.5000
Cr: 0.5000 0.5000 0.0000
Be: 0.5998 0.1250 0.2500
Be: 0.1502 0.6250 0.2500
Be: 0.3750 0.4002 0.7500
Be: 0.8750 0.8498 0.7500
Sn: 0.7500 0.2500 0.5000
Sn: 0.0000 0.0000 0.0000



Entry 3:
First-principles (PBE-GGA) data for a relaxed structure of Be2Cr2Sn, as listed in the Alexandria database.

## Properties
- DFT total energy (eV/atom) = -5.95

Cell lengths 6.1238, 6.1238, 3.1926 Å; angles 90.00, 90.00, 90.00 degrees
Each line ends with the local moment (μB).
Fractional coordinates of all 10 atoms:
Sn: 0.5000 0.5000 0.0000  -0.06
Sn: 0.0000 0.0000 0.0000  -0.06
Be: 0.8848 0.6152 0.0000  -0.04
Be: 0.1152 0.3848 0.0000  -0.04
Be: 0.6152 0.1152 0.0000  -0.04
Be: 0.3848 0.8848 0.0000  -0.04
Cr: 0.3289 0.1711 0.5000  1.06
Cr: 0.6711 0.8289 0.5000  1.06
Cr: 0.1711 0.6711 0.5000  1.00
Cr: 0.8289 0.3289 0.5000  1.00



Entry 4:
First-principles (PBE-GGA) data for a relaxed structure of Be2Cr4Sn, as listed in the Alexandria database.

## Properties
- DFT total energy (eV/atom) = -5.73

Cell lengths 4.8109, 4.8109, 6.9938 Å; angles 69.88, 69.88, 90.00 degrees
Each line ends with the local moment (μB).
Fractional coordinates of all 7 atoms:
Cr: 0.2217 0.2217 0.5565  3.94
Cr: 0.7783 0.7783 0.4435  3.94
Cr: 0.5000 0.0000 0.0000  2.54
Cr: 0.0000 0.5000 0.0000  2.54
Be: 0.4187 0.4187 0.1626  -0.10
Be: 0.5813 0.5813 0.8374  -0.10
Sn: 0.0000 0.0000 0.0000  -0.15



Entry 5:
First-principles (PBE-GGA) data for a relaxed structure of BeCrSn3, as listed in the Alexandria database.

## Properties
- DFT total energy (eV/atom) = -4.37

Cell lengths 5.0297, 5.0297, 5.0297 Å; angles 90.00, 90.00, 90.00 degrees
Fractional coordinates of all 5 atoms:
Cr: 0.0000 0.0000 0.0000
Sn: 0.5000 0.0000 0.0000
Sn: 0.0000 0.0000 0.5000
Sn: 0.0000 0.5000 0.0000
Be: 0.5000 0.5000 0.5000



Entry 6:
First-principles (PBE-GGA) data for a relaxed structure of Be3CrSn, as listed in the Alexandria database.

## Properties
- DFT total energy (eV/atom) = -3.87

Cell lengths 4.1802, 4.1802, 4.1802 Å; angles 90.00, 90.00, 90.00 degrees
Fractional coordinates of all 5 atoms:
Cr: 0.0000 0.0000 0.0000
Be: 0.0000 0.0000 0.5000
Be: 0.0000 0.5000 0.0000
Be: 0.5000 0.0000 0.0000
Sn: 0.5000 0.5000 0.5000



Entry 7:
First-principles (PBE-GGA) data for a relaxed structure of BeCr3Sn, as listed in the Alexandria database.

## Properties
- DFT total energy (eV/atom) = -5.54

Cell lengths 5.0645, 5.0645, 5.0645 Å; angles 90.00, 90.00, 90.00 degrees
Each line ends with the local moment (μB).
Fractional coordinates of all 5 atoms:
Cr: 0.0000 0.5000 0.0000  3.74
Cr: 0.0000 0.0000 0.5000  3.88
Cr: 0.5000 0.0000 0.0000  3.59
Sn: 0.0000 0.0000 0.0000  -0.18
Be: 0.5000 0.5000 0.5000  -0.10



Entry 8:
First-principles (PBE-GGA) data for a relaxed structure of BeCrSn3, as listed in the Alexandria database.

## Properties
- DFT total energy (eV/atom) = -4.00

Cell lengths 4.8364, 4.8364, 4.8364 Å; angles 90.00, 90.00, 90.00 degrees
Each line ends with the local moment (μB).
Fractional coordinates of all 5 atoms:
Be: 0.0000 0.0000 0.0000  0.01
Sn: 0.0000 0.0000 0.5000  0.01
Sn: 0.5000 0.0000 0.0000  -0.02
Sn: 0.0000 0.5000 0.0000  -0.01
Cr: 0.5000 0.5000 0.5000  -0.42



Entry 9:
First-principles (PBE-GGA) data for a relaxed structure of BeCrTcSn2, as listed in the Alexandria database.

## Properties
- DFT total energy (eV/atom) = -5.19

Cell lengths 4.9526, 4.2042, 4.9526 Å; angles 90.00, 90.00, 90.00 degrees
Each line ends with the local moment (μB).
Fractional coordinates of all 5 atoms:
Be: 0.0000 0.5000 0.0000  -0.04
Sn: 0.0000 0.0000 0.5000  0.00
Sn: 0.5000 0.0000 0.0000  -0.08
Tc: 0.5000 0.5000 0.5000  2.92
Cr: 0.0000 0.0000 0.0000  1.65



Entry 10:
First-principles (PBE-GGA) data for a relaxed structure of YBeCrSn2, as listed in the Alexandria database.

## Properties
- DFT total energy (eV/atom) = -5.36

Cell lengths 4.9523, 4.3990, 4.9523 Å; angles 90.00, 90.00, 90.00 degrees
Each line ends with the local moment (μB).
Fractional coordinates of all 5 atoms:
Be: 0.0000 0.5000 0.0000  -0.01
Cr: 0.0000 0.0000 0.0000  0.34
Sn: 0.0000 0.0000 0.5000  -0.01
Sn: 0.5000 0.0000 0.0000  -0.02
Y: 0.5000 0.5000 0.5000  0.01



Entry 11:
First-principles (PBE-GGA) data for a relaxed structure of Sr2BeCr, as listed in the Alexandria database.

## Properties
- DFT total energy (eV/atom) = -3.66

Cell lengths 4.3443, 4.9382, 6.2018 Å; angles 66.54, 90.00, 90.00 degrees
Each line ends with the local moment (μB).
Fractional coordinates of all 4 atoms:
Be: 0.0000 0.6713 0.5338  -0.06
Cr: 0.5000 0.5813 0.7124  3.66
Sr: 0.5000 0.2684 0.3374  0.00
Sr: 0.0000 0.9790 0.9163  -0.01



Entry 12:
First-principles (PBE-GGA) data for a relaxed structure of SrBeCr, as listed in the Alexandria database.

## Properties
- DFT total energy (eV/atom) = -4.07

Cell lengths 4.7292, 4.7292, 4.7292 Å; angles 60.00, 60.00, 60.00 degrees
Each line ends with the local moment (μB).
Fractional coordinates of all 3 atoms:
Cr: 0.0000 0.0000 0.0000  3.74
Be: 0.7500 0.7500 0.7500  -0.12
Sr: 0.5000 0.5000 0.5000  -0.02



Entry 13:
First-principles (PBE-GGA) data for a relaxed structure of SrBeCr3, as listed in the Alexandria database.

## Properties
- DFT total energy (eV/atom) = -5.92

Cell lengths 4.6281, 4.6281, 4.6281 Å; angles 90.00, 90.00, 90.00 degrees
Each line ends with the local moment (μB).
Fractional coordinates of all 5 atoms:
Cr: 0.5000 0.0000 0.0000  3.06
Cr: 0.0000 0.0000 0.5000  3.72
Cr: 0.0000 0.5000 0.0000  3.48
Be: 0.0000 0.0000 0.0000  -0.09
Sr: 0.5000 0.5000 0.5000  0.10



Entry 14:
First-principles (PBE-GGA) data for a relaxed structure of Sr2BeCr, as listed in the Alexandria database.

## Properties
- DFT total energy (eV/atom) = -3.39

Cell lengths 5.2814, 5.2814, 5.2814 Å; angles 120.25, 120.25, 89.58 degrees
Each line ends with the local moment (μB).
Fractional coordinates of all 4 atoms:
Be: 0.5000 0.5000 0.0000  -0.08
Sr: 0.2500 0.7500 0.5000  0.01
Sr: 0.0000 0.0000 0.0000  0.08
Cr: 0.7500 0.2500 0.5000  3.91



Entry 15:
First-principles (PBE-GGA) data for a relaxed structure of Sr2BeCr, as listed in the Alexandria database.

## Properties
- DFT total energy (eV/atom) = -3.50

Cell lengths 3.8156, 3.8156, 8.0242 Å; angles 90.00, 90.00, 90.01 degrees
Each line ends with the local moment (μB).
Fractional coordinates of all 4 atoms:
Sr: 0.0000 0.0000 0.4804  0.03
Sr: 0.0000 0.0000 0.0196  0.03
Be: 0.5000 0.5000 0.2500  -0.01
Cr: 0.5000 0.5000 0.7500  4.02



Entry 16:
First-principles (PBE-GGA) data for a relaxed structure of SrBeCr4, as listed in the Alexandria database.

## Properties
- DFT total energy (eV/atom) = -6.35

Cell lengths 5.0235, 5.0235, 5.0235 Å; angles 60.00, 60.00, 60.00 degrees
Fractional coordinates of all 6 atoms:
Sr: 0.7500 0.7500 0.7500
Be: 0.0000 0.0000 0.0000
Cr: 0.8775 0.3742 0.3742
Cr: 0.3742 0.8775 0.3742
Cr: 0.3742 0.3742 0.3742
Cr: 0.3742 0.3742 0.8775



Entry 17:
First-principles (PBE-GGA) data for a relaxed structure of SrBe4Cr, as listed in the Alexandria database.

## Properties
- DFT total energy (eV/atom) = -3.91

Cell lengths 4.8933, 4.8933, 4.8933 Å; angles 60.00, 60.00, 60.00 degrees
Each line ends with the local moment (μB).
Fractional coordinates of all 6 atoms:
Sr: 0.0000 0.0000 0.0000  0.06
Be: 0.6184 0.1448 0.6184  -0.02
Be: 0.6184 0.6184 0.6184  -0.02
Be: 0.6184 0.6184 0.1448  -0.02
Be: 0.1448 0.6184 0.6184  -0.02
Cr: 0.2500 0.2500 0.2500  3.35



Entry 18:
First-principles (PBE-GGA) data for a relaxed structure of SrBe3Cr, as listed in the Alexandria database.

## Properties
- DFT total energy (eV/atom) = -3.76

Cell lengths 4.4928, 4.4928, 4.4928 Å; angles 90.00, 90.00, 90.00 degrees
Each line ends with the local moment (μB).
Fractional coordinates of all 5 atoms:
Be: 0.0000 0.0000 0.5000  0.03
Be: 0.5000 0.0000 0.0000  0.05
Be: 0.0000 0.5000 0.0000  0.06
Cr: 0.0000 0.0000 0.0000  2.63
Sr: 0.5000 0.5000 0.5000  -0.04



Entry 19:
First-principles (PBE-GGA) data for a relaxed structure of SrBe2Cr, as listed in the Alexandria database.

## Properties
- DFT total energy (eV/atom) = -4.13

Cell lengths 3.7653, 3.2126, 6.2231 Å; angles 74.99, 90.00, 90.00 degrees
Each line ends with the local moment (μB).
Fractional coordinates of all 4 atoms:
Sr: 0.5000 0.7971 0.7832  0.00
Be: 0.0000 0.1426 0.0898  -0.06
Be: 0.5000 0.0527 0.2671  -0.09
Cr: 0.0000 0.5076 0.3600  2.93



Entry 20:
First-principles (PBE-GGA) data for a relaxed structure of SrBe2Cr, as listed in the Alexandria database.

## Properties
- DFT total energy (eV/atom) = -4.34

Cell lengths 4.0641, 4.0641, 5.9420 Å; angles 70.03, 70.03, 59.96 degrees
Each line ends with the local moment (μB).
Fractional coordinates of all 4 atoms:
Cr: 0.7500 0.7500 0.7500  3.13
Be: 0.0681 0.0681 0.7952  -0.06
Be: 0.4319 0.4319 0.7048  -0.06
Sr: 0.2500 0.2500 0.2500  0.02



Entry 21:
First-principles (PBE-GGA) data for a relaxed structure of SrBeCr, as listed in the Alexandria database.

## Properties
- DFT total energy (eV/atom) = -4.34

Cell lengths 4.1220, 4.1220, 4.8105 Å; angles 90.00, 90.00, 120.00 degrees
Each line ends with the local moment (μB).
Fractional coordinates of all 3 atoms:
Be: 0.0000 0.0000 0.1667  -0.06
Sr: 0.6667 0.3333 0.6667  -0.01
Cr: 0.3333 0.6667 0.1667  3.43



Entry 22:
First-principles (PBE-GGA) data for a relaxed structure of Sr3BeCr, as listed in the Alexandria database.

## Properties
- DFT total energy (eV/atom) = -2.97

Cell lengths 5.8885, 5.8885, 5.8885 Å; angles 90.00, 90.00, 90.00 degrees
Each line ends with the local moment (μB).
Fractional coordinates of all 5 atoms:
Cr: 0.5000 0.5000 0.5000  4.17
Be: 0.0000 0.0000 0.0000  -0.07
Sr: 0.0000 0.0000 0.5000  0.00
Sr: 0.0000 0.5000 0.0000  -0.02
Sr: 0.5000 0.0000 0.0000  -0.03



Entry 23:
First-principles (PBE-GGA) data for a relaxed structure of SrBeCr, as listed in the Alexandria database.

## Properties
- DFT total energy (eV/atom) = -3.88

Cell lengths 4.7675, 4.7675, 4.7675 Å; angles 60.00, 60.00, 60.00 degrees
Each line ends with the local moment (μB).
Fractional coordinates of all 3 atoms:
Be: 0.5000 0.5000 0.5000  -0.11
Cr: 0.7500 0.7500 0.7500  3.77
Sr: 0.0000 0.0000 0.0000  0.05



Entry 24:
First-principles (PBE-GGA) data for a relaxed structure of SrBe2Cr, as listed in the Alexandria database.

## Properties
- DFT total energy (eV/atom) = -4.23

Cell lengths 3.1299, 3.1291, 7.3601 Å; angles 64.82, 90.00, 90.00 degrees
Each line ends with the local moment (μB).
Fractional coordinates of all 4 atoms:
Sr: 0.5000 0.7500 0.7500  0.01
Be: 0.0000 0.5919 0.4083  -0.06
Be: 0.0000 0.9081 0.0917  -0.06
Cr: 0.5000 0.2500 0.2500  2.37



Entry 25:
First-principles (PBE-GGA) data for a relaxed structure of Sr2BeCr, as listed in the Alexandria database.

## Properties
- DFT total energy (eV/atom) = -3.59

Cell lengths 6.4840, 6.4840, 5.3285 Å; angles 65.78, 65.78, 34.38 degrees
Each line ends with the local moment (μB).
Fractional coordinates of all 4 atoms:
Cr: 0.1806 0.1806 0.3191  3.63
Sr: 0.9877 0.9877 0.0124  -0.03
Sr: 0.7804 0.7804 0.7193  0.01
Be: 0.5513 0.5513 0.4492  -0.06



Entry 26:
First-principles (PBE-GGA) data for a relaxed structure of SrBe2Cr, as listed in the Alexandria database.

## Properties
- DFT total energy (eV/atom) = -4.34

Cell lengths 3.9489, 3.9489, 6.0634 Å; angles 70.97, 70.97, 60.02 degrees
Each line ends with the local moment (μB).
Fractional coordinates of all 4 atoms:
Cr: 0.4408 0.4408 0.6777  2.94
Sr: 0.2535 0.2535 0.2397  0.00
Be: 0.7396 0.7396 0.7806  -0.08
Be: 0.0661 0.0661 0.8018  -0.09



Entry 27:
First-principles (PBE-GGA) data for a relaxed structure of SrBe2Cr, as listed in the Alexandria database.

## Properties
- DFT total energy (eV/atom) = -3.95

Cell lengths 5.0306, 5.0306, 5.0306 Å; angles 134.72, 114.08, 83.58 degrees
Each line ends with the local moment (μB).
Fractional coordinates of all 4 atoms:
Be: 0.7853 0.2853 0.5000  -0.09
Be: 0.9005 0.9005 0.0000  -0.10
Sr: 0.2345 0.7345 0.5000  0.04
Cr: 0.5797 0.5797 0.0000  3.60



Entry 28:
First-principles (PBE-GGA) data for a relaxed structure of SrBeCr3, as listed in the Alexandria database.

## Properties
- DFT total energy (eV/atom) = -4.14

Cell lengths 4.9844, 4.9844, 4.9844 Å; angles 90.00, 90.00, 90.00 degrees
Each line ends with the local moment (μB).
Fractional coordinates of all 5 atoms:
Sr: 0.0000 0.0000 0.0000  0.21
Cr: 0.5000 0.0000 0.0000  3.92
Cr: 0.0000 0.0000 0.5000  3.39
Cr: 0.0000 0.5000 0.0000  3.64
Be: 0.5000 0.5000 0.5000  -0.10



Entry 29:
First-principles (PBE-GGA) data for a relaxed structure of SrBe2Cr, as listed in the Alexandria database.

## Properties
- DFT total energy (eV/atom) = -3.97

Cell lengths 3.0700, 3.0700, 7.3109 Å; angles 90.00, 90.00, 90.00 degrees
Each line ends with the local moment (μB).
Fractional coordinates of all 4 atoms:
Be: 0.5000 0.5000 0.2321  -0.03
Be: 0.0000 0.0000 0.0891  0.00
Cr: 0.0000 0.0000 0.4100  3.23
Sr: 0.5000 0.5000 0.7689  -0.01



Number 1: ΔH_f (0 K) 889 kJ/mol of formula units. Number 2: ΔH_f (0 K) 290 kJ/mol of formula units. Number 3: ΔH_f (0 K) 89 kJ/mol of formula units. Number 4: ΔH_f (0 K) 948 kJ/mol of formula units. Number 5: ΔH_f (0 K) 337 kJ/mol of formula units. Number 6: ΔH_f (0 K) 527 kJ/mol of formula units. Number 7: ΔH_f (0 K) 858 kJ/mol of formula units. Number 8: ΔH_f (0 K) 517 kJ/mol of formula units. Number 9: ΔH_f (0 K) 555 kJ/mol of formula units. Number 10: ΔH_f (0 K) 100 kJ/mol of formula units. Number 11: ΔH_f (0 K) 199 kJ/mol of formula units. Number 12: ΔH_f (0 K) 273 kJ/mol of formula units. Number 13: ΔH_f (0 K) 451 kJ/mol of formula units. Number 14: ΔH_f (0 K) 304 kJ/mol of formula units. Number 15: ΔH_f (0 K) 262 kJ/mol of formula units. Number 16: ΔH_f (0 K) 560 kJ/mol of formula units. Number 17: ΔH_f (0 K) 265 kJ/mol of formula units. Number 18: ΔH_f (0 K) 357 kJ/mol of formula units. Number 19: ΔH_f (0 K) 215 kJ/mol of formula units. Number 20: ΔH_f (0 K) 133 kJ/mol of formula units. Number 21: ΔH_f (0 K) 195 kJ/mol of formula units. Number 22: ΔH_f (0 K) 343 kJ/mol of formula units. Number 23: ΔH_f (0 K) 328 kJ/mol of formula units. Number 24: ΔH_f (0 K) 176 kJ/mol of formula units. Number 25: ΔH_f (0 K) 225 kJ/mol of formula units. Number 26: ΔH_f (0 K) 136 kJ/mol of formula units. Number 27: ΔH_f (0 K) 287 kJ/mol of formula units. Number 28: ΔH_f (0 K) 1308 kJ/mol of formula units. Number 29: ΔH_f (0 K) 279 kJ/mol of formula units.